[1]
VASP calculation (PBE) on an optimized crystal structure of La7Pr2Y.

Values from the calculation:
offset from the most stable computed form = 533 meV/atom
DOS(E_F) = 1.720 states/eV/atom

Unit cell a=5.6377 b=9.3572 c=9.3572 alpha=122.48 beta=90.00 gamma=90.00
Closest atoms and distances in Å follow each position.
Fractional coordinates of all 10 atoms:
1 La 0.0000 0.7599 0.2401  2 Pr 2.98
2 La 0.0000 0.2401 0.7599  2 Pr 2.98
3 La 0.5000 0.0739 0.3000  2 Pr 3.16-3.49, 2 La 3.37
4 La 0.5000 0.9261 0.7000  2 Pr 3.16-3.49, 2 La 3.37
5 La 0.5000 0.3000 0.0739  2 Pr 3.16-3.49, 2 La 3.37
6 La 0.5000 0.7000 0.9261  2 Pr 3.16-3.49, 2 La 3.37
7 La 0.5000 0.5000 0.5000  2 Pr 3.29, 4 La 3.37
8 Pr 0.5000 0.7004 0.2996  5 La 2.98-3.29
9 Pr 0.5000 0.2996 0.7004  5 La 2.98-3.29
10 Y 0.0000 0.0000 0.0000  10 La 3.77-3.94


[2]
VASP calculation (PBE) on an optimized crystal structure of LiY2Mo.

Values from the calculation:
offset from the most stable computed form = 158 meV/atom
DOS(E_F) = 1.083 states/eV/atom

Unit cell a=6.0407 b=6.0407 c=6.0407 alpha=146.13 beta=131.14 gamma=60.78
Closest atoms and distances in Å follow each position.
Fractional coordinates of all 4 atoms:
1 Li 0.4743 0.4743 0.0000  2 Mo 2.74
2 Mo 0.2724 0.7724 0.5000  2 Li 2.74
3 Y 0.0204 0.0204 0.0000  4 Li 3.09, 2 Mo 3.16, 2 Y 3.34
4 Y 0.7329 0.2329 0.5000  4 Mo 3.08, 2 Li 3.22, 2 Y 3.34


[3]
VASP calculation (PBE) on an optimized crystal structure of Ce2H2Br7.

Values from the calculation:
E = -3.71 eV per atom
DOS(E_F) = 0.680 states/eV/atom

Unit cell a=7.0000 b=7.0000 c=7.7941 alpha=90.41 beta=90.41 gamma=80.53
Closest atoms and distances in Å follow each position.
Fractional coordinates of all 11 atoms:
1 Ce 0.7179 0.7179 0.9998  7 Br 2.91-3.01
2 Ce 0.2821 0.2821 0.0002  7 Br 2.91-3.01
3 H 0.8091 0.1909 0.5000  6 Br 3.40-3.52, 1 H 3.45
4 H 0.1909 0.8091 0.5000  6 Br 3.40-3.52, 1 H 3.45
5 Br 0.0015 0.5020 0.2336  2 Ce 2.92
6 Br 0.4980 0.9985 0.7664  2 Ce 2.92
7 Br 0.9985 0.4980 0.7664  2 Ce 2.92
8 Br 0.5020 0.0015 0.2336  2 Ce 2.92
9 Br 0.0000 0.0000 0.0000  2 Ce 3.01
10 Br 0.4983 0.4983 0.7752  2 Ce 2.91
11 Br 0.5017 0.5017 0.2248  2 Ce 2.91


[4]
VASP calculation (PBE) on an optimized crystal structure of HgRu2Cl.

Values from the calculation:
offset from the most stable computed form = 889 meV/atom
DOS(E_F) = 1.055 states/eV/atom
ΔE_f (raw) = 25.26 kcal/mol of atoms

Unit cell a=5.0932 b=5.0932 c=5.0932 alpha=132.11 beta=132.11 gamma=70.05
Closest atoms and distances in Å follow each position.
Fractional coordinates of all 4 atoms:
1 Cl 0.2500 0.7500 0.5000  4 Hg 2.92, 8 Ru 2.94
2 Hg 0.7500 0.2500 0.5000  4 Cl 2.92, 8 Ru 2.94
3 Ru 0.0000 0.0000 0.0000  4 Ru 2.92, 4 Hg 2.94, 4 Cl 2.94
4 Ru 0.5000 0.5000 0.0000  4 Ru 2.92, 4 Cl 2.94, 4 Hg 2.94


[5]
VASP calculation (PBE) on an optimized crystal structure of HgAuSe2.

Values from the calculation:
DOS(E_F) = 0.648 states/eV/atom
ΔE_f (raw) = 1.31 kcal/mol of atoms

Unit cell a=3.7611 b=3.7637 c=6.9441 alpha=90.00 beta=90.00 gamma=90.00
Closest atoms and distances in Å follow each position.
Fractional coordinates of all 4 atoms:
1 Au 0.0000 0.0000 0.3380  5 Se 2.71-2.77
2 Hg 0.5000 0.5000 0.8101  5 Se 2.76-2.81
3 Se 0.0000 0.0000 0.9397  1 Au 2.77, 4 Hg 2.81
4 Se 0.5000 0.5000 0.4121  4 Au 2.71, 1 Hg 2.76


[6]
VASP calculation (PBE) on an optimized crystal structure of Pr3DySn4.

Values from the calculation:
E = -4.94 eV per atom
DOS(E_F) = 0.710 states/eV/atom

Unit cell a=4.0758 b=7.1595 c=9.7222 alpha=111.60 beta=102.10 gamma=90.00
Closest atoms and distances in Å follow each position.
Fractional coordinates of all 8 atoms:
1 Pr 0.0000 0.5000 0.0000  8 Sn 3.37
2 Pr 0.2050 0.2050 0.4100  6 Sn 3.24-3.29
3 Pr 0.7950 0.7950 0.5900  6 Sn 3.24-3.29
4 Dy 0.5000 0.0000 0.0000  4 Sn 3.08-3.09
5 Sn 0.3723 0.5773 0.7447  1 Sn 2.94, 1 Dy 3.09, 2 Pr 3.24
6 Sn 0.6277 0.4227 0.2553  1 Sn 2.94, 1 Dy 3.09, 2 Pr 3.24
7 Sn 0.6277 0.8326 0.2553  1 Sn 2.94, 1 Dy 3.08, 2 Pr 3.24
8 Sn 0.3723 0.1674 0.7447  1 Sn 2.94, 1 Dy 3.08, 2 Pr 3.24


[7]
VASP calculation (PBE) on an optimized crystal structure of HfSb3Au.

Values from the calculation:
offset from the most stable computed form = 0 meV/atom
DOS(E_F) = 0.611 states/eV/atom
ΔE_f (raw) = 10.74 kcal/mol of atoms

Unit cell a=5.4525 b=5.4525 c=5.4525 alpha=90.00 beta=90.00 gamma=90.00
Closest atoms and distances in Å follow each position.
Fractional coordinates of all 5 atoms:
1 Hf 0.0000 0.0000 0.0000  6 Sb 2.73
2 Au 0.5000 0.5000 0.5000  12 Sb 3.86
3 Sb 0.0000 0.5000 0.0000  2 Hf 2.73
4 Sb 0.0000 0.0000 0.5000  2 Hf 2.73
5 Sb 0.5000 0.0000 0.0000  2 Hf 2.73


[8]
VASP calculation (PBE) on an optimized crystal structure of La4Nd6Y.

Values from the calculation:
offset from the most stable computed form = 0 meV/atom
DOS(E_F) = 1.491 states/eV/atom

Unit cell a=6.8119 b=6.8119 c=9.7877 alpha=110.36 beta=110.36 gamma=90.00
Closest atoms and distances in Å follow each position.
Fractional coordinates of all 11 atoms:
1 La 0.0381 0.7171 0.7552  1 La 3.09, 3 Nd 3.30-3.36
2 La 0.9619 0.9619 0.2448  1 La 3.09, 3 Nd 3.30-3.36
3 La 0.7171 0.0381 0.7552  1 La 3.09, 3 Nd 3.30-3.36
4 La 0.2829 0.2829 0.2448  1 La 3.09, 3 Nd 3.30-3.36
5 Nd 0.8645 0.4973 0.3618  3 La 3.36-3.56, 1 Nd 3.54, 1 Y 3.55
6 Nd 0.4973 0.8645 0.3618  3 La 3.36-3.56, 1 Nd 3.54, 1 Y 3.55
7 Nd 0.5027 0.5027 0.6382  3 La 3.36-3.56, 1 Nd 3.54, 1 Y 3.55
8 Nd 0.0000 0.5000 0.0000  4 La 3.30, 2 Y 3.41
9 Nd 0.1355 0.1355 0.6382  3 La 3.36-3.56, 1 Nd 3.54, 1 Y 3.55
10 Nd 0.5000 0.0000 0.0000  4 La 3.30, 2 Y 3.41
11 Y 0.5000 0.5000 0.0000  8 Nd 3.41-3.55


[9]
VASP calculation (PBE) on an optimized crystal structure of H2AuBr6.

Values from the calculation:
E = -2.30 eV per atom
DOS(E_F) = 0.121 states/eV/atom

Unit cell a=7.9538 b=7.9538 c=12.1778 alpha=96.52 beta=96.52 gamma=107.47
Closest atoms and distances in Å follow each position.
Fractional coordinates of all 18 atoms:
1 H 0.3955 0.6728 0.1375  1 Br 1.53
2 H 0.3272 0.6045 0.3625  1 Br 1.53
3 H 0.6045 0.3272 0.8625  1 Br 1.53
4 H 0.6728 0.3955 0.6375  1 Br 1.53
5 Au 0.1252 0.8748 0.2500  4 Br 2.54-2.67
6 Au 0.8748 0.1252 0.7500  4 Br 2.54-2.67
7 Br 0.6131 0.6111 0.7082  1 H 2.04
8 Br 0.3889 0.3869 0.7918  1 H 2.04
9 Br 0.3869 0.3889 0.2918  1 H 2.04
10 Br 0.6111 0.6131 0.2082  1 H 2.04
11 Br 0.6963 0.2227 0.5832  1 H 1.53
12 Br 0.7773 0.3037 0.9168  1 H 1.53
13 Br 0.3037 0.7773 0.4168  1 H 1.53
14 Br 0.2227 0.6963 0.0832  1 H 1.53
15 Br 0.8825 0.8648 0.6108  1 Au 2.54
16 Br 0.1352 0.1175 0.8892  1 Au 2.54
17 Br 0.1175 0.1352 0.3892  1 Au 2.54
18 Br 0.8648 0.8825 0.1108  1 Au 2.54


[10]
VASP calculation (PBE) on an optimized crystal structure of ZnSnPdS4.

Values from the calculation:
DOS(E_F) = 0.431 states/eV/atom
ΔE_f (raw) = -8.66 kcal/mol of atoms

Unit cell a=7.5424 b=7.3419 c=7.3419 alpha=62.38 beta=59.09 gamma=59.09
Closest atoms and distances in Å follow each position.
Fractional coordinates of all 14 atoms:
1 Zn 0.6429 0.6071 0.1071  4 S 2.35-2.47
2 Zn 0.3571 0.3929 0.8929  4 S 2.35-2.47
3 Sn 0.0000 0.0000 0.0000  6 S 2.54-2.63
4 Sn 0.0000 0.5000 0.5000  6 S 2.54-2.63
5 Pd 0.5000 0.0000 0.5000  6 S 2.43-2.54
6 Pd 0.0000 0.0000 0.5000  6 S 2.43-2.54
7 S 0.7478 0.7786 0.7259  1 Zn 2.35, 2 Pd 2.54, 1 Sn 2.54
8 S 0.2522 0.7741 0.7214  1 Zn 2.35, 2 Pd 2.54, 1 Sn 2.54
9 S 0.7478 0.2259 0.2786  1 Zn 2.35, 2 Pd 2.54, 1 Sn 2.54
10 S 0.2522 0.2214 0.2741  1 Zn 2.35, 2 Pd 2.54, 1 Sn 2.54
11 S 0.2340 0.7577 0.2577  1 Pd 2.43, 1 Zn 2.47, 2 Sn 2.63
12 S 0.7507 0.7577 0.2577  1 Pd 2.43, 1 Zn 2.47, 2 Sn 2.63
13 S 0.2493 0.2423 0.7423  1 Pd 2.43, 1 Zn 2.47, 2 Sn 2.63
14 S 0.7660 0.2423 0.7423  1 Pd 2.43, 1 Zn 2.47, 2 Sn 2.63


[11]
VASP calculation (PBE) on an optimized crystal structure of CuHPd3.

Values from the calculation:
offset from the most stable computed form = 20 meV/atom
DOS(E_F) = 0.512 states/eV/atom

Unit cell a=4.8803 b=4.8557 c=6.2352 alpha=104.79 beta=75.41 gamma=70.03
Closest atoms and distances in Å follow each position.
Fractional coordinates of all 10 atoms:
1 H 0.7817 0.6256 0.9330  4 Pd 1.84-1.93
2 H 0.8831 0.8102 0.4666  4 Pd 1.78-1.80
3 Pd 0.5087 0.4340 0.9638  1 H 1.87
4 Pd 0.7681 0.1907 0.4452  1 H 1.79
5 Pd 0.6223 0.8212 0.7329  2 H 1.80-1.91
6 Pd 0.8950 0.5535 0.1951  2 H 1.80-1.93
7 Pd 0.1492 0.3051 0.7000  1 H 1.84
8 Pd 0.2749 0.6859 0.4591  1 H 1.78
9 Cu 0.0185 0.9396 0.9579  1 H 2.20
10 Cu 0.3807 0.0693 0.2153  1 H 2.24